(1)
The following is a PBE calculation of a geometry-optimized HfCd3Ga structure, from Alexandria.

a b c (Å): 4.990 4.990 4.990
angles (deg): 90.00 90.00 90.00
Fractional positions:
1 Hf 0.000 0.000 0.000
2 Cd 0.000 0.500 0.500
3 Cd 0.500 0.000 0.500
4 Cd 0.500 0.500 0.000
5 Ga 0.500 0.500 0.500

Calculated values
Magnetic moment = 0.00 Bohr magnetons per cell
Symmetry = Pm-3m, No. 221


(2)
The following is a PBE calculation of a geometry-optimized HfCd3Ga structure, from Alexandria.

a b c (Å): 5.623 5.623 5.623
angles (deg): 90.00 90.00 90.00
Fractional positions:
1 Hf 0.000 0.000 0.000
2 Cd 0.000 0.000 0.500
3 Cd 0.000 0.500 0.000
4 Cd 0.500 0.000 0.000
5 Ga 0.500 0.500 0.500

Calculated values
Magnetic moment = 1.39 Bohr magnetons per cell
Symmetry = Pm-3m, No. 221


If we sort the structures by their calculated energies, the order from most to least stable is (1), (2).


(1)
The following is a PBE calculation of a geometry-optimized HfCdGa3 structure, from Alexandria.

a b c (Å): 4.968 4.968 4.968
angles (deg): 90.00 90.00 90.00
Fractional positions:
1 Hf 0.000 0.000 0.000
2 Cd 0.500 0.500 0.500
3 Ga 0.000 0.500 0.500
4 Ga 0.500 0.000 0.500
5 Ga 0.500 0.500 0.000

Calculated values
Magnetic moment = 0.00 Bohr magnetons per cell
Symmetry = Pm-3m, No. 221


(2)
The following is a PBE calculation of a geometry-optimized HfCdGa3 structure, from Alexandria.

a b c (Å): 5.260 5.260 5.260
angles (deg): 90.00 90.00 90.00
Fractional positions:
1 Hf 0.000 0.000 0.000
2 Cd 0.500 0.500 0.500
3 Ga 0.000 0.000 0.500
4 Ga 0.000 0.500 0.000
5 Ga 0.500 0.000 0.000

Calculated values
Magnetic moment = 0.00 Bohr magnetons per cell
Symmetry = Pm-3m, No. 221


If we sort the structures by their calculated energies, the order from most to least stable is (2), (1).